# Ti4TeS (PBE-GGA, relaxed)
# ΔE_f (raw)	-0.558	eV per atom
data_Ti4TeS
_chemical_formula_sum 'Ti16 Te4 S4'
_symmetry_space_group_name_H-M 'C 1 2/c 1'
_symmetry_Int_Tables_number 15
_symmetry_space_group_name_Hall '-C 2yc'
_cell_length_a 13.2638
_cell_length_b 5.5343
_cell_length_c 6.1296
_cell_angle_alpha 90.00
_cell_angle_beta 106.87
_cell_angle_gamma 90.00
loop_
_atom_site_label
_atom_site_type_symbol
_atom_site_fract_x
_atom_site_fract_y
_atom_site_fract_z
Ti1 Ti 0.0874 0.0845 0.4568
Ti2 Ti 0.1887 0.3912 0.1247
Te1 Te 0.0000 0.3577 0.7500
S1 S 0.2500 0.2500 0.5000